1.
An optimized crystal structure of PmInSi2Pd5. Source: the Alexandria database, functional GGA-PBE.

```
PmInSi2Pd5
1.0
4.3729 0.0000 0.0000
0.0000 4.3729 0.0000
0.0000 0.0000 8.3443
Pm In Si Pd
1 1 2 5
Cartesian
0.0000 0.0000 0.0000
0.0000 0.0000 4.1722
2.1864 2.1864 3.0165
2.1864 2.1864 5.3278
0.0000 2.1864 2.0405
0.0000 2.1864 6.3038
2.1864 0.0000 2.0405
2.1864 0.0000 6.3038
2.1864 2.1864 0.0000
```

Space group: P4/mmm, No. 123

---

2.
An optimized crystal structure of PmInSiPd2. Source: the Alexandria database, functional GGA-PBE.

```
PmInSiPd2
1.0
4.5765 0.0000 0.0000
0.0000 4.5765 0.0000
0.0000 0.0000 5.9357
Pm In Si Pd
1 1 1 2
Cartesian
0.0000 0.0000 0.0000
2.2882 2.2882 0.8921
0.0000 0.0000 3.0319
0.0000 2.2882 2.4317
2.2882 0.0000 2.4317
```

Space group: P4mm, No. 99

---

Results for uncorrected formation energy: -619 -355 (in meV/atom, following the order of the records).
Results for N(E_F): 2.9 3.5 (in states/eV/cell, following the order of the records).
Results for calculated volume: 17.7 24.9 (in Å³/atom, following the order of the records).